VASP calculation (PBE-GGA) on a relaxed structure of TcHg2Os.

Output
Formation enthalpy at 0 K in kJ/mol of atoms: 71.9
VASP energy in eV per atom: -4.804

Cell lengths 2.8338, 4.8668, 10.8379 Å; angles 90.00, 90.00, 90.00 degrees
Last column: nearest neighbours and their distance in Å.
Space group Imm2 (No. 44)
Symmetry-distinct sites (fractional):
Tc 0.0000 0.0000 0.0000 x2  2 Os 2.48
Hg 0.0000 0.0000 0.5529 x2  2 Hg 2.83, 4 Tc 2.87, 2 Os 3.14
Hg 0.0000 0.5000 0.7580 x2  2 Hg 2.83, 4 Os 2.88, 2 Tc 3.13
Os 0.0000 0.5000 0.3119 x2  2 Tc 2.48